(1)
This record from the Alexandria database describes a geometry-optimized CdOs2F structure. The functional is PBE.

a = 4.4436 Å, b = 4.4436 Å, c = 4.4436 Å
α = 60.00°, β = 60.00°, γ = 60.00°
Atoms (fractional coordinates):
Cd 0.0000 0.0000 0.0000
Os 0.2500 0.2500 0.2500
Os 0.7500 0.7500 0.7500
F 0.5000 0.5000 0.5000

Computed properties:
Offset from the most stable computed form ... 0.863 eV per atom
Raw formation energy ... 1.23 eV/atom
Symmetry ... Fm-3m (225)


(2)
This record from the Alexandria database describes a geometry-optimized Pr2Y5Er5 structure. The functional is PBE.

a = 7.9815 Å, b = 7.9815 Å, c = 11.2849 Å
α = 115.10°, β = 115.10°, γ = 36.87°
Atoms (fractional coordinates):
Pr 0.0833 0.0833 0.2482
Pr 0.9167 0.9167 0.7518
Y 0.3339 0.3339 0.4999
Y 0.4149 0.4149 0.2495
Y 0.5000 0.5000 0.0000
Y 0.5851 0.5851 0.7505
Y 0.6661 0.6661 0.5001
Er 0.0000 0.0000 0.5000
Er 0.1684 0.1684 0.0005
Er 0.2488 0.2488 0.7505
Er 0.7512 0.7512 0.2495
Er 0.8316 0.8316 0.9995

Computed properties:
DFT formation energy ... 0.026 eV per atom
Symmetry ... C2/m (12)


(3)
This record from the Alexandria database describes a geometry-optimized ScTa2Re structure. The functional is PBE.

a = 5.5088 Å, b = 5.5088 Å, c = 5.5088 Å
α = 145.83°, β = 129.42°, γ = 62.46°
Atoms (fractional coordinates):
Sc 0.0000 0.0000 0.0000
Ta 0.2706 0.7706 0.5000
Ta 0.5335 0.5335 0.0000
Re 0.7556 0.2556 0.5000

Computed properties:
Offset from the most stable computed form ... 0.032 eV per atom
DFT formation energy ... -0.064 eV per atom
Symmetry ... Imm2 (44)


(4)
This record from the Alexandria database describes a geometry-optimized PrSmAgHg structure. The functional is PBE.

a = 3.7813 Å, b = 3.7813 Å, c = 7.6066 Å
α = 90.00°, β = 90.00°, γ = 90.00°
Atoms (fractional coordinates):
Pr 0.0000 0.0000 0.0000
Sm 0.0000 0.0000 0.4894
Ag 0.5000 0.5000 0.2577
Hg 0.5000 0.5000 0.7358

Computed properties:
DFT formation energy ... -0.368 eV per atom
Symmetry ... P4mm (99)


(5)
This record from the Alexandria database describes a geometry-optimized SmZnPd5 structure. The functional is PBE.

a = 4.1965 Å, b = 4.1965 Å, c = 7.0433 Å
α = 90.00°, β = 90.00°, γ = 90.00°
Atoms (fractional coordinates):
Sm 0.0000 0.0000 0.0000
Zn 0.5000 0.5000 0.5000
Pd 0.0000 0.5000 0.2903
Pd 0.0000 0.5000 0.7097
Pd 0.5000 0.0000 0.2903
Pd 0.5000 0.0000 0.7097
Pd 0.5000 0.5000 0.0000

Computed properties:
DFT formation energy ... -0.519 eV per atom
Symmetry ... P4/mmm (123)


(6)
This record from the Alexandria database describes a geometry-optimized TbGdH structure. The functional is PBE.

a = 3.3752 Å, b = 3.3752 Å, c = 12.2267 Å
α = 90.00°, β = 90.00°, γ = 90.00°
Atoms (fractional coordinates):
Tb 0.2500 0.2500 0.1033
Tb 0.7500 0.7500 0.8967
Gd 0.2500 0.2500 0.3958
Gd 0.7500 0.7500 0.6042
H 0.2500 0.2500 0.9224
H 0.7500 0.7500 0.0776

Computed properties:
Offset from the most stable computed form ... 0.158 eV per atom
Symmetry ... P4/nmm (129)


(7)
This record from the Alexandria database describes a geometry-optimized TbPa2RuC4 structure. The functional is PBE.

a = 6.1649 Å, b = 6.1649 Å, c = 11.8303 Å
α = 90.00°, β = 90.00°, γ = 146.39°
Atoms (fractional coordinates):
Tb 0.1162 0.8838 0.7500
Tb 0.8838 0.1162 0.2500
Pa 0.3673 0.6327 0.5444
Pa 0.3673 0.6327 0.9556
Pa 0.6327 0.3673 0.0444
Pa 0.6327 0.3673 0.4556
Ru 0.1468 0.8532 0.2500
Ru 0.8532 0.1468 0.7500
C 0.0000 0.0000 0.0000
C 0.0000 0.0000 0.5000
C 0.2652 0.7348 0.1272
C 0.2652 0.7348 0.3728
C 0.4390 0.5610 0.7500
C 0.5610 0.4390 0.2500
C 0.7348 0.2652 0.6272
C 0.7348 0.2652 0.8728

Computed properties:
DFT formation energy ... -0.137 eV per atom
Symmetry ... Cmcm (63)


(8)
This record from the Alexandria database describes a geometry-optimized MnCd2Pt structure. The functional is PBE.

a = 2.9767 Å, b = 2.9767 Å, c = 7.9651 Å
α = 90.00°, β = 90.00°, γ = 90.00°
Atoms (fractional coordinates):
Mn 0.0000 0.0000 0.0000
Cd 0.5000 0.5000 0.2537
Cd 0.5000 0.5000 0.7463
Pt 0.0000 0.0000 0.5000

Computed properties:
DFT formation energy ... 0.006 eV per atom
Symmetry ... P4/mmm (123)


(9)
This record from the Alexandria database describes a geometry-optimized Ba2TlAs4Au3 structure. The functional is PBE.

a = 4.8616 Å, b = 4.8616 Å, c = 10.6973 Å
α = 90.00°, β = 90.00°, γ = 90.00°
Atoms (fractional coordinates):
Ba 0.0000 0.5000 0.2396
Ba 0.5000 0.0000 0.7604
Tl 0.0000 0.0000 0.5000
As 0.0000 0.0000 0.0000
As 0.0000 0.5000 0.6416
As 0.5000 0.0000 0.3584
As 0.5000 0.5000 0.0000
Au 0.0000 0.5000 0.8885
Au 0.5000 0.0000 0.1115
Au 0.5000 0.5000 0.5000

Computed properties:
DFT formation energy ... -0.496 eV per atom
Symmetry ... P-4m2 (115)


(10)
This record from the Alexandria database describes a geometry-optimized CaCd2Cl2 structure. The functional is PBE.

a = 10.7685 Å, b = 10.7685 Å, c = 10.7685 Å
α = 159.54°, β = 159.54°, γ = 29.09°
Atoms (fractional coordinates):
Ca 0.0000 0.0000 0.0000
Cd 0.2500 0.7500 0.5000
Cd 0.7500 0.2500 0.5000
Cl 0.4264 0.4264 0.0000
Cl 0.5736 0.5736 0.0000

Computed properties:
Offset from the most stable computed form ... 0.038 eV per atom
Raw formation energy ... -1.02 eV/atom
Symmetry ... I4/mmm (139)


(11)
This record from the Alexandria database describes a geometry-optimized PRhCl2 structure. The functional is PBE.

a = 8.0798 Å, b = 8.0798 Å, c = 8.0798 Å
α = 24.89°, β = 24.89°, γ = 24.89°
Atoms (fractional coordinates):
P 0.0000 0.0000 0.0000
Rh 0.5000 0.5000 0.5000
Cl 0.1025 0.1025 0.1025
Cl 0.8975 0.8975 0.8975

Computed properties:
Offset from the most stable computed form ... 1.161 eV per atom
Raw formation energy ... 0.42 eV/atom
Symmetry ... R-3m (166)


(12)
This record from the Alexandria database describes a geometry-optimized Bi2AsS structure. The functional is PBE.

a = 5.1330 Å, b = 5.1330 Å, c = 5.1330 Å
α = 60.00°, β = 60.00°, γ = 60.00°
Atoms (fractional coordinates):
Bi 0.2500 0.2500 0.2500
Bi 0.7500 0.7500 0.7500
As 0.0000 0.0000 0.0000
S 0.5000 0.5000 0.5000

Computed properties:
Offset from the most stable computed form ... 0.158 eV per atom
Raw formation energy ... 0.10 eV/atom
Symmetry ... Fm-3m (225)


(13)
This record from the Alexandria database describes a geometry-optimized Ca2MgNi2 structure. The functional is PBE.

a = 5.7062 Å, b = 5.7062 Å, c = 7.7900 Å
α = 101.48°, β = 101.48°, γ = 59.81°
Atoms (fractional coordinates):
Ca 0.0091 0.2876 0.1468
Ca 0.2876 0.0091 0.6468
Ca 0.7124 0.9909 0.3532
Ca 0.9909 0.7124 0.8532
Mg 0.3847 0.6153 0.2500
Mg 0.6153 0.3847 0.7500
Ni 0.2036 0.5039 0.4955
Ni 0.4961 0.7964 0.0045
Ni 0.5039 0.2036 0.9955
Ni 0.7964 0.4961 0.5045

Computed properties:
DFT formation energy ... -0.164 eV per atom
Symmetry ... C2/c (15)


(14)
This record from the Alexandria database describes a geometry-optimized NdTlAg structure. The functional is PBE.

a = 5.0307 Å, b = 5.0307 Å, c = 3.5155 Å
α = 90.00°, β = 90.00°, γ = 120.00°
Atoms (fractional coordinates):
Nd 0.0000 0.0000 0.0000
Tl 0.3333 0.6667 0.5000
Ag 0.6667 0.3333 0.5000

Computed properties:
DFT formation energy ... -0.309 eV per atom
Symmetry ... P-6m2 (187)


(15)
This record from the Alexandria database describes a geometry-optimized PmPu3Mn3 structure. The functional is PBE.

a = 6.7857 Å, b = 6.7857 Å, c = 6.7857 Å
α = 90.00°, β = 90.00°, γ = 90.00°
Atoms (fractional coordinates):
Pm 0.0000 0.0000 0.0000
Pm 0.5000 0.5000 0.5000
Pu 0.0000 0.2500 0.5000
Pu 0.0000 0.7500 0.5000
Pu 0.2500 0.5000 0.0000
Pu 0.5000 0.0000 0.2500
Pu 0.5000 0.0000 0.7500
Pu 0.7500 0.5000 0.0000
Mn 0.0000 0.5000 0.2500
Mn 0.0000 0.5000 0.7500
Mn 0.2500 0.0000 0.5000
Mn 0.5000 0.2500 0.0000
Mn 0.5000 0.7500 0.0000
Mn 0.7500 0.0000 0.5000

Computed properties:
DFT formation energy ... 0.600 eV per atom
Symmetry ... Pm-3n (223)


(16)
This record from the Alexandria database describes a geometry-optimized SmDyCu4 structure. The functional is PBE.

a = 5.2910 Å, b = 5.2910 Å, c = 5.2910 Å
α = 60.00°, β = 60.00°, γ = 60.00°
Atoms (fractional coordinates):
Sm 0.0000 0.0000 0.0000
Dy 0.2500 0.2500 0.2500
Cu 0.1265 0.6245 0.6245
Cu 0.6245 0.1265 0.6245
Cu 0.6245 0.6245 0.1265
Cu 0.6245 0.6245 0.6245

Computed properties:
Offset from the most stable computed form ... 0.113 eV per atom
DFT formation energy ... -0.140 eV per atom
Symmetry ... F-43m (216)


(17)
This record from the Alexandria database describes a geometry-optimized TbP2Ru2 structure. The functional is PBE.

a = 5.5998 Å, b = 5.5998 Å, c = 5.5998 Å
α = 137.52°, β = 137.52°, γ = 61.63°
Atoms (fractional coordinates):
Tb 0.0000 0.0000 0.0000
P 0.3746 0.3746 0.0000
P 0.6254 0.6254 0.0000
Ru 0.2500 0.7500 0.5000
Ru 0.7500 0.2500 0.5000

Computed properties:
DFT formation energy ... -1.039 eV per atom
Symmetry ... I4/mmm (139)


(18)
This record from the Alexandria database describes a geometry-optimized BaCaAg2 structure. The functional is PBE.

a = 3.9502 Å, b = 3.9648 Å, c = 7.6490 Å
α = 90.00°, β = 90.00°, γ = 90.00°
Atoms (fractional coordinates):
Ba 0.0000 0.0000 0.0000
Ca 0.0000 0.0000 0.5000
Ag 0.5000 0.5000 0.2979
Ag 0.5000 0.5000 0.7021

Computed properties:
Offset from the most stable computed form ... 0.000 eV per atom
DFT formation energy ... -0.269 eV per atom
Symmetry ... Pmmm (47)


(19)
This record from the Alexandria database describes a geometry-optimized AcEr3Sb3 structure. The functional is PBE.

a = 9.3085 Å, b = 9.3085 Å, c = 5.6247 Å
α = 90.00°, β = 90.00°, γ = 120.00°
Atoms (fractional coordinates):
Ac 0.3333 0.6667 0.2500
Ac 0.6667 0.3333 0.7500
Er 0.0157 0.2411 0.2500
Er 0.2253 0.9843 0.2500
Er 0.2411 0.2253 0.7500
Er 0.7589 0.7747 0.2500
Er 0.7747 0.0157 0.7500
Er 0.9843 0.7589 0.7500
Sb 0.0600 0.4147 0.7500
Sb 0.3547 0.9400 0.7500
Sb 0.4147 0.3547 0.2500
Sb 0.5853 0.6453 0.7500
Sb 0.6453 0.0600 0.2500
Sb 0.9400 0.5853 0.2500

Computed properties:
Raw formation energy ... -0.79 eV/atom
Symmetry ... P6_3/m (176)


(20)
This record from the Alexandria database describes a geometry-optimized Tl2SeO6 structure. The functional is PBE.

a = 4.9345 Å, b = 4.9345 Å, c = 9.8085 Å
α = 90.00°, β = 90.00°, γ = 90.00°
Atoms (fractional coordinates):
Tl 0.0000 0.0000 0.1650
Tl 0.0000 0.0000 0.8350
Tl 0.5000 0.5000 0.3350
Tl 0.5000 0.5000 0.6650
Se 0.0000 0.0000 0.5000
Se 0.5000 0.5000 0.0000
O 0.1776 0.1776 0.3599
O 0.1776 0.1776 0.6401
O 0.2329 0.2329 0.0000
O 0.2671 0.7329 0.5000
O 0.3224 0.6776 0.1401
O 0.3224 0.6776 0.8599
O 0.6776 0.3224 0.1401
O 0.6776 0.3224 0.8599
O 0.7329 0.2671 0.5000
O 0.7671 0.7671 0.0000
O 0.8224 0.8224 0.3599
O 0.8224 0.8224 0.6401

Computed properties:
Offset from the most stable computed form ... 0.105 eV per atom
Raw formation energy ... -0.49 eV/atom
Symmetry ... P4_2/mnm (136)


| no. | N(E_F) (states/eV per atom) |
| --- | --- |
| 1 | 0.558 |
| 2 | 1.527 |
| 3 | 0.867 |
| 4 | 0.973 |
| 5 | 0.772 |
| 6 | 1.024 |
| 7 | 0.614 |
| 8 | 0.738 |
| 9 | 0.390 |
| 10 | 0.255 |
| 11 | 0.623 |
| 12 | 0.284 |
| 13 | 0.436 |
| 14 | 0.694 |
| 15 | 2.042 |
| 16 | 0.550 |
| 17 | 0.385 |
| 18 | 0.666 |
| 19 | 0.815 |
| 20 | 0.542 |